(1)
Compound: NbVBi2H
Source: Alexandria
Functional: PBE
Structure: relaxed

Cell lengths 5.5592, 5.5592, 3.5449 Å; angles 90.00, 90.00, 90.00 degrees
Last column: nearest neighbours and their distance in Å.
Space group P4/mmm (No. 123)
Symmetry-distinct sites (fractional):
Nb  0.0000  0.0000  0.0000 (multiplicity 1)  2 H 1.77
V  0.5000  0.5000  0.5000 (multiplicity 1)  8 Bi 3.30, 2 V 3.54
Bi  0.0000  0.5000  0.0000 (multiplicity 2)  2 Nb 2.78
H  0.0000  0.0000  0.5000 (multiplicity 1)  2 Nb 1.77

Calculated values
Uncorrected energy in eV/atom: -5.208

(2)
Compound: Pr2NdBr
Source: Alexandria
Functional: PBE
Structure: relaxed

Cell lengths 3.7791, 3.7791, 31.9715 Å; angles 90.00, 90.00, 120.00 degrees
Last column: nearest neighbours and their distance in Å.
Space group R-3m (No. 166, hexagonal axes)
Symmetry-distinct sites (fractional):
Pr  0.0000  0.0000  0.2418 (multiplicity 6)  3 Br 3.24
Nd  0.0000  0.0000  0.0000 (multiplicity 3)  6 Pr 3.65, 6 Nd 3.78
Br  0.0000  0.0000  0.5000 (multiplicity 3)  6 Pr 3.24

Calculated values
Uncorrected energy in eV/atom: -4.572
E above lowest polymorph in meV/atom: 0
ΔE_f (raw) in eV/atom: -0.57

(3)
Compound: YZn2Cl
Source: Alexandria
Functional: PBE
Structure: relaxed

Cell lengths 4.1994, 4.1994, 5.3319 Å; angles 90.00, 90.00, 90.00 degrees
Last column: nearest neighbours and their distance in Å.
Space group P4/mmm (No. 123)
Symmetry-distinct sites (fractional):
Y  0.0000  0.0000  0.0000 (multiplicity 1)  2 Cl 2.67
Zn  0.5000  0.5000  0.2454 (multiplicity 2)  2 Zn 2.62-2.72
Cl  0.0000  0.0000  0.5000 (multiplicity 1)  2 Y 2.67

Calculated values
Uncorrected energy in eV/atom: -3.123
E above lowest polymorph in meV/atom: 187
ΔE_f (raw) in eV/atom: -0.41

uncorrected energy of number 2 (Pr2NdBr)? -4.572 eV/atom

Look up the uncorrected energy of the first one. -5.208 eV/atom

Among the records above, which one has the highest uncorrected energy? YZn2Cl

What is the uncorrected energy in the second record? -4.572 eV/atom